# Li3Fe4WO8

An optimized crystal structure of Li3Fe4WO8 (PBE+U, Alexandria).

Total energy ... -6.42 eV per atom
Space-group type ... C2/m, No. 12
Total magnetization ... 17.0 μB/f.u.
N(E_F) ... 0.00 states/eV/cell

Cell lengths 10.7085, 10.7085, 15.0073 Å; angles 19.59, 19.59, 33.96 degrees
Fractional positions:
Li1 0.5000 0.0000 0.5000
O1 0.5275 0.5275 0.2225
O2 0.0450 0.5139 0.2137
O3 0.4725 0.4725 0.7775
O4 0.9550 0.4861 0.7863
Fe1 0.5000 0.0000 0.0000
W1 0.5000 0.5000 0.0000
Li2 0.5000 0.5000 0.5000
Li3 0.0000 0.5000 0.5000
O5 0.9599 0.9599 0.3071
Fe2 0.0000 0.0000 0.5000
O6 0.4861 0.9550 0.7863
O7 0.0401 0.0401 0.6929
Fe3 0.0000 0.5000 0.0000
O8 0.5139 0.0450 0.2137
Fe4 0.0000 0.0000 0.0000